Computed, not measured: crystalline SnPtIN2 at its relaxed geometry at the GGA-PBE level of DFT.

The space group is P4/mmm (No. 123) and the conventional cell measures 4.0168, 4.0168 and 7.0384 Å, with angles of 90.00, 90.00 and 90.00 degrees. The asymmetric unit holds Sn at (0.0000, 0.0000, 0.0000), Pt at (0.5000, 0.5000, 0.5000), I at (0.0000, 0.0000, 0.5000) and N at (0.0000, 0.5000, 0.0000).

Its crystal system is tetragonal. The value obtained for the formation energy (no corrections) is 1.48 eV/atom.